Entry 1:
Sm3Ni7Pd2 after structural relaxation, computed with PBE.

a b c (Å): 8.9352 8.9352 8.9352
angles (deg): 33.12 33.12 33.12
With the nearest neighbours (Å) after each atom.
Positions (direct):
Sm1 0.0000 0.0000 0.0000  6 Pd 2.94
Sm2 0.1393 0.1393 0.1393  12 Ni 2.88-3.10
Sm3 0.8607 0.8607 0.8607  12 Ni 2.88-3.10
Ni1 0.0864 0.5862 0.5862  5 Ni 2.51-2.55, 2 Pd 2.62-2.65
Ni2 0.4138 0.4138 0.9136  5 Ni 2.51-2.55, 2 Pd 2.62-2.65
Ni3 0.4138 0.9136 0.4138  5 Ni 2.51-2.55, 2 Pd 2.62-2.65
Ni4 0.5000 0.5000 0.5000  6 Ni 2.51
Ni5 0.5862 0.0864 0.5862  5 Ni 2.51-2.55, 2 Pd 2.62-2.65
Ni6 0.5862 0.5862 0.0864  5 Ni 2.51-2.55, 2 Pd 2.62-2.65
Ni7 0.9136 0.4138 0.4138  5 Ni 2.51-2.55, 2 Pd 2.62-2.65
Pd1 0.3326 0.3326 0.3326  6 Ni 2.62-2.65
Pd2 0.6674 0.6674 0.6674  6 Ni 2.62-2.65

## Properties
The calculated formation energy is -5.1 eV per formula unit.



Entry 2:
Sm3NiPd2 after structural relaxation, computed with PBE.

a b c (Å): 11.6625 4.1190 11.7688
angles (deg): 90.00 90.00 90.00
With the nearest neighbours (Å) after each atom.
Positions (direct):
Sm1 0.0530 0.2500 0.1252  5 Pd 3.00-3.10, 1 Ni 3.01
Sm2 0.1215 0.7500 0.5546  3 Ni 2.97-2.98, 5 Pd 3.03-3.22
Sm3 0.2220 0.2500 0.8035  2 Ni 2.86, 4 Pd 2.96-3.17
Sm4 0.2780 0.7500 0.3035  2 Ni 2.86, 4 Pd 2.96-3.17
Sm5 0.3785 0.2500 0.0546  3 Ni 2.97-2.98, 5 Pd 3.03-3.22
Sm6 0.4470 0.7500 0.6252  5 Pd 3.00-3.10, 1 Ni 3.01
Sm7 0.5530 0.2500 0.3748  5 Pd 3.00-3.10, 1 Ni 3.01
Sm8 0.6215 0.7500 0.9454  3 Ni 2.97-2.98, 5 Pd 3.03-3.22
Sm9 0.7220 0.2500 0.6965  2 Ni 2.86, 4 Pd 2.96-3.17
Sm10 0.7780 0.7500 0.1965  2 Ni 2.86, 4 Pd 2.96-3.17
Sm11 0.8785 0.2500 0.4454  3 Ni 2.97-2.98, 5 Pd 3.03-3.22
Sm12 0.9470 0.7500 0.8748  5 Pd 3.00-3.10, 1 Ni 3.01
Ni1 0.1218 0.2500 0.3714  3 Pd 2.58-2.67, 2 Sm 2.86
Ni2 0.3782 0.7500 0.8714  3 Pd 2.58-2.67, 2 Sm 2.86
Ni3 0.6218 0.2500 0.1286  3 Pd 2.58-2.67, 2 Sm 2.86
Ni4 0.8782 0.7500 0.6286  3 Pd 2.58-2.67, 2 Sm 2.86
Pd1 0.0065 0.7500 0.3055  2 Ni 2.58
Pd2 0.1848 0.7500 0.9935  1 Ni 2.67
Pd3 0.3152 0.2500 0.4935  1 Ni 2.67
Pd4 0.4935 0.2500 0.8055  2 Ni 2.58
Pd5 0.5065 0.7500 0.1945  2 Ni 2.58
Pd6 0.6848 0.7500 0.5065  1 Ni 2.67
Pd7 0.8152 0.2500 0.0065  1 Ni 2.67
Pd8 0.9935 0.2500 0.6945  2 Ni 2.58

## Properties
The calculated formation energy is -3.8 eV per formula unit.



Entry 3:
SmNiPd after structural relaxation, computed with PBE.

a b c (Å): 5.3147 5.3147 5.3147
angles (deg): 120.98 117.75 91.13
With the nearest neighbours (Å) after each atom.
Positions (direct):
Sm1 0.3688 0.1188 0.2500  6 Ni 3.04-3.20, 6 Pd 3.09-3.15, 4 Sm 3.27
Sm2 0.6312 0.8812 0.7500  6 Ni 3.04-3.20, 6 Pd 3.09-3.15, 4 Sm 3.27
Ni1 0.0000 0.0000 0.5000  2 Ni 2.62, 4 Pd 2.66
Ni2 0.0000 0.5000 0.0000  2 Ni 2.62, 4 Pd 2.66
Pd1 0.0000 0.5000 0.5000  4 Ni 2.66, 2 Pd 2.75
Pd2 0.5000 0.5000 0.0000  4 Ni 2.66, 2 Pd 2.75

## Properties
The calculated formation energy is -1.7 eV per formula unit.